! LiLa2InC | Alexandria | PBE-GGA | optimized geometry; values from VASP
! E_tot: -0.1786 Ha/atom
! space group: No. 123
! crystal system: tetragonal
&SYSTEM
  ibrav = 0, nat = 5, ntyp = 4
/
ATOMIC_SPECIES
La 138.91 La.upf
In 114.82 In.upf
Li 6.94 Li.upf
C 12.01 C.upf
CELL_PARAMETERS angstrom
-4.8128 1.9713 0.6618
0.5992 -0.2830 5.2008
1.6990 4.1383 0.0294
ATOMIC_POSITIONS crystal
La 0.0000 0.5000 0.0000
La 0.5000 0.0000 0.0000
In 0.5000 0.5000 0.5000
Li 0.0000 0.0000 0.5000
C 0.0000 0.0000 0.0000